[1]
Compound: FeCoTc3
Source: Alexandria via LeMat-Bulk
Functional: GGA-PBE
Structure: relaxed

Results
**ΔE_f**: 7.56 eV per formula unit
**SG**: No. 221

a b c (Å): 4.333 4.333 4.333
angles (deg): 90.00 90.00 90.00
Sites, in units of the cell vectors:
Tc (0.000, 0.500, 0.000)
Co (0.500, 0.500, 0.500)
Tc (0.500, 0.000, 0.000)
Tc (0.000, 0.000, 0.500)
Fe (0.000, 0.000, 0.000)

[2]
Compound: V3AuBr
Source: Alexandria via LeMat-Bulk
Functional: GGA-PBE
Structure: relaxed

Results
**SG**: No. 221
**Formation energy from raw total energies**: 0.95 eV per atom

a b c (Å): 4.511 4.511 4.511
angles (deg): 90.00 90.00 90.00
Sites, in units of the cell vectors:
Au (0.500, 0.500, 0.500)
Br (0.000, 0.000, 0.000)
V (0.000, 0.500, 0.000)
V (0.000, 0.000, 0.500)
V (0.500, 0.000, 0.000)

Going through the records in order, we get D(E_F) values of 2.4280, 0.8927 states/eV/atom.